# CaSm2Mg6 (PBE-GGA, relaxed)
data_CaSm2Mg6
_cell_length_a 9.1575
_cell_length_b 9.1575
_cell_length_c 3.4014
_cell_angle_alpha 90.01
_cell_angle_beta 90.01
_cell_angle_gamma 59.99
_symmetry_space_group_name_H-M 'P 1'
_symmetry_Int_Tables_number 1
loop_
_symmetry_equiv_pos_as_xyz
'x,y,z'
loop_
_atom_site_label
_atom_site_type_symbol
_atom_site_fract_x
_atom_site_fract_y
_atom_site_fract_z
Ca1 Ca 0.0000 0.0000 0.0000
Sm1 Sm 0.3333 0.3333 0.0000
Sm2 Sm 0.6667 0.6667 0.0000
Mg1 Mg 0.0000 0.3352 0.4985
Mg2 Mg 0.0000 0.6648 0.5015
Mg3 Mg 0.3352 0.0000 0.4985
Mg4 Mg 0.3351 0.6649 0.5000
Mg5 Mg 0.6648 0.0000 0.5015
Mg6 Mg 0.6649 0.3351 0.5000
# Formation energy from the elements, eV per atom: -0.07